[1]
10
Lattice="6.970 0.001 0.000 3.486 6.036 -0.001 3.484 2.011 6.394" Properties=species:S:1:pos:R:3 comment="Li2CdGeBr6 PBE-GGA optimized geometry" sg="R3, No. 146" e_form_raw_ev_per_atom=-1.002 pbc="T T T"
Br 8.008 5.944 4.796
Br 8.113 2.165 4.796
Cd 3.485 2.011 0.277
Li 6.970 4.024 3.024
Br 9.305 4.166 1.585
Br 5.925 1.932 1.585
Br 4.788 3.963 4.797
Ge 10.454 6.035 3.430
Br 5.681 5.974 1.584
Li 3.485 2.013 6.188

[2]
20
Lattice="7.281 0.000 0.000 -2.427 6.865 0.000 -2.427 -3.432 5.945" Properties=species:S:1:pos:R:3 comment="Al2Cu3 PBE-GGA optimized geometry" sg="I-43d, No. 220" polymorph_energy_mev_per_atom=243.8 pbc="T T T"
Al 2.935 3.432 0.000
Cu 4.950 -0.723 1.486
Cu 2.332 0.723 4.459
Cu -3.545 2.709 4.459
Cu -1.118 3.365 3.090
Al -0.705 3.432 0.000
Al 4.685 1.477 2.558
Cu 1.118 4.155 1.486
Al -1.383 -1.956 3.388
Cu -1.309 -1.649 5.828
Cu 4.759 4.358 1.369
Al -0.169 -0.240 0.415
Cu 2.523 0.791 1.603
Cu -1.309 0.926 4.576
Al -1.383 3.193 5.530
Cu 4.759 1.784 0.117
Al 1.044 2.195 2.973
Cu 1.309 4.223 4.342
Al 2.258 -1.237 2.973
Cu 0.096 -0.068 2.856

[3]
5
Lattice="3.868 0.000 0.000 0.000 3.868 0.000 0.000 0.000 3.893" Properties=species:S:1:pos:R:3 comment="Fe2NiAgC PBE-GGA optimized geometry" sg="P4/mmm, No. 123" dft_energy_ev_per_cell=-33.73 pbc="T T T"
Fe 0.000 1.934 0.000
Ni 0.000 0.000 1.946
C 0.000 0.000 0.000
Fe 1.934 0.000 0.000
Ag 1.934 1.934 1.946

[4]
4
Lattice="-0.455 -4.577 3.108 4.815 -1.864 -2.040 1.307 1.212 1.976" Properties=species:S:1:pos:R:3 comment="CdHgP2 PBE-GGA optimized geometry" sg="P4/mmm, No. 123" polymorph_energy_mev_per_atom=501.1 pbc="T T T"
P 0.000 0.000 0.000
Cd 0.426 -1.682 2.542
Hg 3.061 -0.326 -0.032
P 2.180 -3.221 0.534

[5]
9
Lattice="-1.240 2.444 -2.177 2.942 -3.889 -6.042 -7.221 -1.493 2.434" Properties=species:S:1:pos:R:3 comment="SmEr2Zn6 PBE-GGA optimized geometry" sg="P6/mmm, No. 191" dft_energy_ev_per_cell=-24.83 pbc="T T T"
Zn -3.461 -2.352 -3.486
Sm 0.000 0.000 0.000
Zn -6.853 -1.577 -0.684
Zn -2.473 -3.657 -5.515
Zn -2.058 -0.586 -2.300
Zn -3.046 0.719 -0.271
Er -3.835 -2.292 -0.392
Zn -5.887 -2.854 -2.668
Er -1.684 -0.646 -5.394

[6]
8
Lattice="-4.730 0.506 0.032 1.995 -1.695 -3.972 -0.590 -5.650 2.115" Properties=species:S:1:pos:R:3 comment="ZrTi2O PBE-GGA optimized geometry" sg="Cmmm, No. 65" e_form_raw_ev_per_atom=-1.302 pbc="T T T"
Zr 0.000 0.000 0.000
O 0.997 -0.848 -1.986
O -2.365 0.253 0.016
Ti -0.711 -5.171 -1.044
Ti -2.614 -1.668 -0.780
Zr -0.295 -2.825 1.058
Ti -0.420 -2.387 -2.087
Ti -2.905 -4.452 0.262

[7]
13
Lattice="-0.792 2.240 -3.733 -4.163 0.910 1.429 5.908 14.929 7.704" Properties=species:S:1:pos:R:3 comment="Pm4AgSn8 PBE-GGA optimized geometry" sg="Pmm2, No. 25" dft_energy_ev_per_cell=-61.24 pbc="T T T"
Sn 1.986 12.854 4.669
Sn 0.937 4.488 -0.128
Sn -0.737 3.852 2.468
Pm 0.507 1.281 0.661
Pm -0.112 7.553 1.933
Pm 4.883 14.459 5.018
Sn -2.227 2.208 -0.825
Sn 2.798 7.069 3.648
Ag 1.920 4.851 2.503
Pm 1.530 9.581 5.424
Sn 3.406 14.322 7.871
Sn 3.047 9.821 2.624
Sn 4.436 11.208 5.784

[8]
9
Lattice="4.617 0.000 -0.174 0.000 7.775 0.000 -2.129 -3.887 4.674" Properties=species:S:1:pos:R:3 comment="NaSn2Pd6 PBE-GGA optimized geometry" sg="C2/m, No. 12" dft_energy_ev_per_cell=-43.11 pbc="T T T"
Sn 0.114 0.000 2.931
Sn 2.374 3.887 1.569
Pd 0.062 5.352 1.599
Na 0.000 0.000 0.000
Pd 2.308 1.802 -0.087
Pd 2.425 1.465 2.901
Pd 2.425 -1.465 2.901
Pd 0.062 2.423 1.599
Pd 2.308 5.973 -0.087

Number 8 is which compound? NaSn2Pd6